(1)
Computed, not measured: a geometry-optimized EuCd3Pd structure at the PBE-GGA level of DFT.

POSCAR file:
```
EuCd3Pd
1.0
5.203 0.000 0.000
0.000 5.203 0.000
0.000 0.000 5.203
Eu Cd Pd
1 3 1
direct
0.000 0.000 0.000 Eu
0.000 0.500 0.500 Cd
0.500 0.000 0.500 Cd
0.500 0.500 0.000 Cd
0.500 0.500 0.500 Pd
```

Values from the calculation:
- ρ: 7.02 Mg/m³

=====

(2)
Computed, not measured: a geometry-optimized EuCd4Pd structure at the PBE-GGA level of DFT.

POSCAR file:
```
EuCd4Pd
1.0
0.000 4.083 4.083
4.083 0.000 4.083
4.083 4.083 0.000
Eu Cd Pd
1 4 1
direct
0.000 0.000 0.000 Eu
0.128 0.624 0.624 Cd
0.624 0.128 0.624 Cd
0.624 0.624 0.128 Cd
0.624 0.624 0.624 Cd
0.250 0.250 0.250 Pd
```

Values from the calculation:
- ρ: 8.63 Mg/m³

=====

Which ΔH_f (0 K) belongs to each record? In order, -5.1, -5.1 kcal/mol of atoms.
Which DOS(E_F) belongs to each record? In order, 2.56, 2.20 states/eV per atom.